Density functional theory data (GGA+U) for crystalline Rb2PmCr2O6 at its relaxed geometry.

```
11
Lattice="6.2385 0.0000 0.0000 3.1192 5.4027 0.0000 3.1192 1.8009 6.3828" Properties=species:S:1:pos:R:3 pbc="T T T"
Cr 6.2385 3.6018 4.9520
Rb 3.1192 1.8009 2.4526
Cr 6.2385 3.6018 1.4309
Rb 9.3577 5.4027 3.9303
O 6.2385 1.8318 1.4750
O 7.7713 2.7168 4.9078
O 4.7057 2.7168 4.9078
O 6.2385 5.3717 4.9078
O 7.7713 4.4868 1.4750
O 4.7057 4.4868 1.4750
Pm 0.0000 0.0000 0.0000
```

Values from the calculation:
Uncorrected energy: -0.4828 Ry per atom
Space-group type: R-3m, No. 166